This record from Alexandria describes an optimized crystal structure of Ti4OsPd. The functional is GGA-PBE.

Calculated values
calculated formation energy	-0.47	eV/atom

Geometry as extended XYZ:
```
6
Lattice="3.0973 0.0000 0.0000 0.0000 3.0973 0.0000 0.0000 0.0000 9.8210" Properties=species:S:1:pos:R:3 pbc="T T T"
Ti 0.0000 0.0000 1.5323
Ti 0.0000 0.0000 8.2887
Ti 1.5486 1.5486 3.2615
Ti 1.5486 1.5486 6.5595
Os 1.5486 1.5486 0.0000
Pd 0.0000 0.0000 4.9105
```